Entry 1:
Crystalline Ho8AgBi2 at its relaxed geometry, computed with PBE.

Summary:
VASP energy   -4.592 eV per atom
E_form   -0.298 eV/atom
Magnetization   0.00 Bohr magnetons per cell

Cell and atoms, written as CIF:
```
data_Ho8AgBi2
_space_group_name_H-M_alt 'C 1 2/m 1'
_space_group_IT_number 12
_cell_length_a 17.953
_cell_length_b 5.130
_cell_length_c 6.954
_cell_angle_alpha 90.00
_cell_angle_beta 93.92
_cell_angle_gamma 90.00
loop_
_space_group_symop_operation_xyz
'x,y,z'
'-x,-y,-z'
'-x,y,-z'
'x,-y,z'
'x+1/2,y+1/2,z'
'-x+1/2,-y+1/2,-z'
'-x+1/2,y+1/2,-z'
'x+1/2,-y+1/2,z'
loop_
_atom_site_label
_atom_site_fract_x
_atom_site_fract_y
_atom_site_fract_z
Ho1 0.031 0.000 0.249
Ho2 0.090 0.500 0.936
Ho3 0.161 0.500 0.405
Ho4 0.213 0.000 0.122
Ag1 0.000 0.500 0.500
Bi1 0.160 0.000 0.670
```

---

Entry 2:
Crystalline HoAg4Bi at its relaxed geometry, computed with PBE.

Summary:
VASP energy   -3.476 eV per atom
E_form   -0.165 eV/atom
Magnetization   0.00 Bohr magnetons per cell

Cell and atoms, written as CIF:
```
data_HoAg4Bi
_space_group_name_H-M_alt 'F -4 3 m'
_space_group_IT_number 216
_space_group_name_Hall 'F -4 2 3'
_cell_length_a 8.055
_cell_length_b 8.055
_cell_length_c 8.055
_cell_angle_alpha 90.00
_cell_angle_beta 90.00
_cell_angle_gamma 90.00
loop_
_atom_site_label
_atom_site_fract_x
_atom_site_fract_y
_atom_site_fract_z
Ho1 0.000 0.000 0.000
Ag1 0.125 0.125 0.625
Bi1 0.250 0.250 0.250
```

---

Entry 3:
Crystalline Ho6AgBi3 at its relaxed geometry, computed with PBE.

Summary:
VASP energy   -4.565 eV per atom
E_form   -0.369 eV/atom
Magnetization   0.00 Bohr magnetons per cell

Cell and atoms, written as CIF:
```
data_Ho6AgBi3
_space_group_name_H-M_alt 'C m c 21'
_space_group_IT_number 36
_cell_length_a 11.128
_cell_length_b 15.615
_cell_length_c 7.144
_cell_angle_alpha 90.00
_cell_angle_beta 90.00
_cell_angle_gamma 90.00
loop_
_space_group_symop_operation_xyz
'x,y,z'
'-x,-y,z+1/2'
'-x,y,z'
'x,-y,z+1/2'
'x+1/2,y+1/2,z'
'-x+1/2,-y+1/2,z+1/2'
'-x+1/2,y+1/2,z'
'x+1/2,-y+1/2,z+1/2'
loop_
_atom_site_label
_atom_site_fract_x
_atom_site_fract_y
_atom_site_fract_z
Ho1 0.000 0.019 0.000
Ho2 0.000 0.254 0.100
Ho3 0.179 0.273 0.545
Ho4 0.194 0.439 0.174
Ag1 0.000 0.157 0.727
Bi1 0.000 0.430 0.490
Bi2 0.176 0.105 0.296
```

---

Entry 4:
Crystalline Ho6AgBi at its relaxed geometry, computed with PBE.

Summary:
VASP energy   -4.427 eV per atom
E_form   -0.152 eV/atom
Magnetization   0.00 Bohr magnetons per cell

Cell and atoms, written as CIF:
```
data_Ho6AgBi
_space_group_name_H-M_alt 'R -3'
_space_group_IT_number 148
_space_group_name_Hall '-R 3'
_cell_length_a 8.8390
_cell_length_b 8.8390
_cell_length_c 10.1305
_cell_angle_alpha 90.00
_cell_angle_beta 90.00
_cell_angle_gamma 120.00
loop_
_atom_site_label
_atom_site_fract_x
_atom_site_fract_y
_atom_site_fract_z
Ho1 0.0164 0.2444 0.2291
Ag1 0.0000 0.0000 0.0000
Bi1 0.0000 0.0000 0.5000
```

---

Entry 5:
Crystalline HoAgBi at its relaxed geometry, computed with PBE.

Summary:
VASP energy   -4.120 eV per atom
E_form   -0.350 eV/atom
Magnetization   0.00 Bohr magnetons per cell

Cell and atoms, written as CIF:
```
data_HoAgBi
_space_group_name_H-M_alt 'P 3 m 1'
_space_group_IT_number 156
_cell_length_a 4.6644
_cell_length_b 4.6644
_cell_length_c 4.1898
_cell_angle_alpha 90.00
_cell_angle_beta 90.00
_cell_angle_gamma 120.00
loop_
_space_group_symop_operation_xyz
'x,y,z'
'-y,x-y,z'
'-x+y,-x,z'
'-y,-x,z'
'-x+y,y,z'
'x,x-y,z'
loop_
_atom_site_label
_atom_site_fract_x
_atom_site_fract_y
_atom_site_fract_z
Ho1 0.0000 0.0000 0.0000
Ag1 0.6667 0.3333 0.3355
Bi1 0.3333 0.6667 0.5726
```

---

Entry 6:
Crystalline HoAgBi2 at its relaxed geometry, computed with PBE.

Summary:
VASP energy   -4.147 eV per atom
E_form   -0.349 eV/atom
Magnetization   0.00 Bohr magnetons per cell

Cell and atoms, written as CIF:
```
data_HoAgBi2
_space_group_name_H-M_alt 'P 4/m m m'
_space_group_IT_number 123
_space_group_name_Hall '-P 4 2'
_cell_length_a 4.947
_cell_length_b 4.947
_cell_length_c 4.315
_cell_angle_alpha 90.00
_cell_angle_beta 90.00
_cell_angle_gamma 90.00
loop_
_atom_site_label
_atom_site_fract_x
_atom_site_fract_y
_atom_site_fract_z
Ho1 0.000 0.000 0.000
Ag1 0.500 0.500 0.000
Bi1 0.000 0.500 0.500
```